# GGA-PBE RbZnCuO2, relaxed
data_RbZnCuO2
_cell_length_a 5.6286
_cell_length_b 12.1982
_cell_length_c 4.8937
_cell_angle_alpha 90.00
_cell_angle_beta 90.00
_cell_angle_gamma 90.00
_space_group_name_H-M_alt 'C m m e'
_space_group_IT_number 67
_space_group_name_Hall '-C 2a 2'
loop_
_atom_site_label
_atom_site_type_symbol
_atom_site_fract_x
_atom_site_fract_y
_atom_site_fract_z
Rb1 Rb 0.0000 0.2500 0.2501
Zn1 Zn 0.2500 0.0000 0.0000
Cu1 Cu 0.0000 0.0000 0.5000
O1 O 0.0000 0.0930 0.8019
# - Total energy: -4.3402 eV per atom
# - Formation energy without anion corrections: -1.09 eV/atom